Record 1
Compound: Tb3TeS2
Source: Alexandria
Functional: PBE
Structure: optimized geometry

For the total magnetic moment, the calculation gives 0.00 μB/cell. As for the raw formation energy: -878 kJ/mol of formula units. As for the total energy: -5.731 eV/atom.

Unit cell a=4.127 b=7.229 c=10.692 alpha=90.00 beta=90.00 gamma=106.59
Element x y z (fractional)
Te 0.745 0.489 0.750
Te 0.255 0.511 0.250
S 0.000 0.000 0.000
S 0.459 0.919 0.750
S 0.541 0.081 0.250
S 0.000 0.000 0.500
Tb 0.645 0.289 0.046
Tb 0.355 0.711 0.954
Tb 0.076 0.153 0.750
Tb 0.355 0.711 0.546
Tb 0.924 0.847 0.250
Tb 0.645 0.289 0.454


Record 2
Compound: Tb5Te5S2
Source: Alexandria
Functional: PBE
Structure: optimized geometry

For the total magnetic moment, the calculation gives 0.00 μB/cell. As for the raw formation energy: -1820 kJ/mol of formula units. As for the total energy: -5.498 eV/atom.

Unit cell a=4.193 b=7.338 c=12.503 alpha=105.21 beta=90.00 gamma=106.60
Element x y z (fractional)
Te 0.665 0.330 0.054
Te 0.752 0.503 0.356
Te 0.248 0.497 0.644
Te 0.335 0.670 0.946
Te 0.500 0.000 0.500
Tb 0.676 0.352 0.802
Tb 0.324 0.648 0.198
Tb 0.105 0.210 0.398
Tb 0.000 0.000 0.000
Tb 0.895 0.790 0.602
S 0.040 0.081 0.794
S 0.960 0.919 0.206


Record 3
Compound: Tb4Te3S2
Source: Alexandria
Functional: PBE
Structure: optimized geometry

For the total magnetic moment, the calculation gives 0.00 μB/cell. As for the raw formation energy: -1414 kJ/mol of formula units. As for the total energy: -5.651 eV/atom.

Unit cell a=3.977 b=7.313 c=9.113 alpha=99.73 beta=90.00 gamma=105.78
Element x y z (fractional)
S 0.299 0.597 0.185
S 0.701 0.403 0.815
Te 0.000 0.000 0.000
Te 0.604 0.208 0.413
Te 0.396 0.792 0.587
Tb 0.334 0.667 0.893
Tb 0.075 0.150 0.680
Tb 0.925 0.850 0.320
Tb 0.666 0.333 0.107


Record 4
Compound: Tb4Te2S3
Source: Alexandria
Functional: PBE
Structure: optimized geometry

For the total magnetic moment, the calculation gives 0.00 μB/cell. As for the raw formation energy: -1481 kJ/mol of formula units. As for the total energy: -5.837 eV/atom.

Unit cell a=7.528 b=7.450 c=8.706 alpha=90.00 beta=115.62 gamma=90.00
Element x y z (fractional)
S 0.961 0.250 0.422
S 0.500 0.500 0.000
S 0.000 0.000 0.000
S 0.539 0.750 0.578
S 0.461 0.250 0.422
S 0.039 0.750 0.578
Tb 0.699 0.534 0.398
Tb 0.784 0.250 0.068
Tb 0.301 0.466 0.602
Tb 0.216 0.750 0.932
Tb 0.284 0.250 0.068
Tb 0.801 0.034 0.602
Tb 0.716 0.750 0.932
Tb 0.199 0.966 0.398
Te 0.893 0.423 0.787
Te 0.607 0.923 0.213
Te 0.107 0.577 0.213
Te 0.393 0.077 0.787


Record 5
Compound: Tb2TeS4
Source: Alexandria
Functional: PBE
Structure: optimized geometry

For the total magnetic moment, the calculation gives 2.03 μB/cell. As for the raw formation energy: -645 kJ/mol of formula units. As for the total energy: -5.086 eV/atom.

Unit cell a=6.105 b=6.105 c=8.177 alpha=111.92 beta=111.92 gamma=90.00
Each line ends with the local moment (μB).
Element x y z (fractional)
Tb 0.750 0.250 0.500  0.10
Tb 0.250 0.750 0.500  0.10
S 0.875 0.412 0.287  0.08
S 0.588 0.588 0.713  0.08
S 0.412 0.875 0.287  0.08
S 0.125 0.125 0.713  0.08
Te 0.500 0.500 0.000  0.67


Record 6
Compound: TbTh2Te2S2
Source: Alexandria
Functional: PBE
Structure: optimized geometry

For the total magnetic moment, the calculation gives 0.89 μB/cell. As for the raw formation energy: -813 kJ/mol of formula units. As for the total energy: -6.062 eV/atom.

Unit cell a=5.015 b=5.015 c=8.789 alpha=106.58 beta=106.58 gamma=90.00
Each line ends with the local moment (μB).
Element x y z (fractional)
S 0.000 0.500 0.000  -0.01
S 0.500 0.000 0.000  -0.01
Tb 0.000 0.000 0.000  0.04
Te 0.813 0.813 0.625  0.01
Te 0.187 0.187 0.375  0.01
Th 0.389 0.389 0.778  0.28
Th 0.611 0.611 0.222  0.28